Record 1
The following is a DFT calculation (PBE-GGA) of a relaxed structure of Dy4Cd5Hg.

Structure (POSCAR):
```
Dy4Cd5Hg
1.0
7.835 -2.562 0.000
7.835 2.562 0.000
-1.808 0.000 6.268
Dy Cd Hg
4 5 1
direct
0.096 0.096 0.388 Dy
0.310 0.310 0.191 Dy
0.690 0.690 0.809 Dy
0.904 0.904 0.612 Dy
0.100 0.100 0.915 Cd
0.297 0.297 0.691 Cd
0.500 0.500 0.000 Cd
0.703 0.703 0.309 Cd
0.900 0.900 0.085 Cd
0.500 0.500 0.500 Hg
```

Results
Its energy relative to the elements is -7.467 kcal/mol of atoms. For the density, the calculation gives 9.32 g cm⁻³. The total energy comes out at -26.52 eV for the cell shown.


Record 2
The following is a DFT calculation (PBE-GGA) of a relaxed structure of TiSeBr.

Structure (POSCAR):
```
TiSeBr
1.0
6.387 0.000 0.000
0.000 3.638 0.000
-0.115 0.000 6.846
Ti Se Br
2 2 2
direct
0.206 0.250 0.492 Ti
0.794 0.750 0.508 Ti
0.080 0.750 0.261 Se
0.920 0.250 0.739 Se
0.420 0.750 0.710 Br
0.580 0.250 0.290 Br
```

Results
As for the uncorrected formation energy: -1.181 eV/atom. For the density, the calculation gives 4.32 g cm⁻³. The total energy comes out at -33.19 eV for the cell shown.


Record 3
The following is a DFT calculation (PBE-GGA) of a relaxed structure of Pu3SbC.

Structure (POSCAR):
```
Pu3SbC
1.0
4.882 0.000 0.000
0.000 4.882 0.000
0.000 0.000 4.882
Pu Sb C
3 1 1
direct
0.000 0.000 0.500 Pu
0.000 0.500 0.000 Pu
0.500 0.000 0.000 Pu
0.500 0.500 0.500 Sb
0.000 0.000 0.000 C
```

Results
As for the uncorrected formation energy: -0.323 eV/atom. For the density, the calculation gives 12.35 g cm⁻³. The total energy comes out at -57.96 eV for the cell shown.


Record 4
The following is a DFT calculation (PBE-GGA) of a relaxed structure of RbPaBi2O8.

Structure (POSCAR):
```
RbPaBi2O8
1.0
-3.937 3.937 3.494
3.937 -3.937 3.494
3.937 3.937 -3.494
Rb Pa Bi O
1 1 2 8
direct
0.000 0.000 0.000 Rb
0.750 0.250 0.500 Pa
0.250 0.750 0.500 Bi
0.500 0.500 0.000 Bi
0.030 0.360 0.331 O
0.030 0.699 0.669 O
0.115 0.332 0.783 O
0.301 0.970 0.331 O
0.549 0.332 0.217 O
0.640 0.970 0.669 O
0.668 0.451 0.783 O
0.668 0.885 0.217 O
```

Results
As for the uncorrected formation energy: -1.420 eV/atom. For the density, the calculation gives 6.61 g cm⁻³. The total energy comes out at -74.93 eV for the cell shown.


Record 5
The following is a DFT calculation (PBE-GGA) of a relaxed structure of Ta2GaAgPt.

Structure (POSCAR):
```
Ta2GaAgPt
1.0
4.879 0.000 0.000
0.000 4.879 0.000
0.000 0.000 5.029
Ta Ga Ag Pt
2 1 1 1
direct
0.000 0.500 0.000 Ta
0.500 0.000 0.000 Ta
0.000 0.000 0.500 Ga
0.500 0.500 0.500 Ag
0.500 0.500 0.000 Pt
```

Results
Its energy relative to the elements is 25.759 kcal/mol of atoms. For the density, the calculation gives 10.19 g cm⁻³. The total energy comes out at -30.04 eV for the cell shown.


Record 6
The following is a DFT calculation (PBE-GGA) of a relaxed structure of Pm3Zn2Ir2.

Structure (POSCAR):
```
Pm3Zn2Ir2
1.0
-2.012 2.119 9.243
2.012 -2.119 9.243
2.012 2.119 -9.243
Pm Zn Ir
3 2 2
direct
0.000 0.000 0.000 Pm
0.312 0.812 0.500 Pm
0.688 0.188 0.500 Pm
0.434 0.434 0.000 Zn
0.566 0.566 0.000 Zn
0.146 0.646 0.500 Ir
0.854 0.354 0.500 Ir
```

Results
Its energy relative to the elements is -12.945 kcal/mol of atoms. For the density, the calculation gives 10.01 g cm⁻³. The total energy comes out at -38.45 eV for the cell shown.


Record 7
The following is a DFT calculation (PBE-GGA) of a relaxed structure of Te2PdI.

Structure (POSCAR):
```
Te2PdI
1.0
4.147 0.000 0.000
2.049 6.925 0.000
2.066 2.078 8.342
Te Pd I
4 2 2
direct
0.113 0.392 0.380 Te
0.154 0.707 0.985 Te
0.846 0.293 0.015 Te
0.887 0.608 0.620 Te
0.377 0.433 0.815 Pd
0.623 0.567 0.185 Pd
0.397 0.924 0.283 I
0.603 0.076 0.717 I
```

Results
As for the uncorrected formation energy: -0.243 eV/atom. For the density, the calculation gives 6.77 g cm⁻³. The total energy comes out at -27.99 eV for the cell shown.


Record 8
The following is a DFT calculation (PBE-GGA) of a relaxed structure of Y5Te4Pt.

Structure (POSCAR):
```
Y5Te4Pt
1.0
-2.135 2.135 15.660
2.135 -2.135 15.660
2.135 2.135 -15.660
Y Te Pt
5 4 1
direct
0.000 0.000 0.000 Y
0.210 0.210 0.000 Y
0.414 0.414 0.000 Y
0.586 0.586 0.000 Y
0.790 0.790 0.000 Y
0.106 0.106 0.000 Te
0.309 0.309 0.000 Te
0.691 0.691 0.000 Te
0.894 0.894 0.000 Te
0.500 0.500 0.000 Pt
```

Results
As for the uncorrected formation energy: -1.289 eV/atom. For the density, the calculation gives 6.69 g cm⁻³. The total energy comes out at -63.82 eV for the cell shown.


Record 9
The following is a DFT calculation (PBE-GGA) of a relaxed structure of Sr3Cu2Rh4.

Structure (POSCAR):
```
Sr3Cu2Rh4
1.0
5.456 -2.216 0.000
5.456 2.216 0.000
-1.889 0.000 8.257
Sr Cu Rh
3 2 4
direct
0.000 0.000 0.000 Sr
0.374 0.374 0.623 Sr
0.626 0.626 0.377 Sr
0.333 0.333 0.229 Cu
0.667 0.667 0.771 Cu
0.082 0.082 0.633 Rh
0.245 0.245 0.917 Rh
0.755 0.755 0.083 Rh
0.918 0.918 0.367 Rh
```

Results
Its energy relative to the elements is -4.415 kcal/mol of atoms. For the density, the calculation gives 6.67 g cm⁻³. The total energy comes out at -44.37 eV for the cell shown.


Record 10
The following is a DFT calculation (PBE-GGA) of a relaxed structure of Sc2GaPd4.

Structure (POSCAR):
```
Sc2GaPd4
1.0
2.232 1.288 7.252
-2.232 1.288 7.252
0.000 -2.577 7.252
Sc Ga Pd
2 1 4
direct
0.248 0.248 0.248 Sc
0.752 0.752 0.752 Sc
0.000 0.000 0.000 Ga
0.125 0.125 0.125 Pd
0.375 0.375 0.375 Pd
0.625 0.625 0.625 Pd
0.875 0.875 0.875 Pd
```

Results
Its energy relative to the elements is -15.697 kcal/mol of atoms. For the density, the calculation gives 7.77 g cm⁻³. The total energy comes out at -41.23 eV for the cell shown.


Record 11
The following is a DFT calculation (PBE-GGA) of a relaxed structure of NaHgBi3.

Structure (POSCAR):
```
NaHgBi3
1.0
5.565 0.000 0.000
0.000 5.565 0.000
0.000 0.000 5.565
Na Hg Bi
1 1 3
direct
0.000 0.000 0.000 Na
0.500 0.500 0.500 Hg
0.000 0.000 0.500 Bi
0.000 0.500 0.000 Bi
0.500 0.000 0.000 Bi
```

Results
Its energy relative to the elements is 13.145 kcal/mol of atoms. For the density, the calculation gives 8.20 g cm⁻³. The total energy comes out at -10.41 eV for the cell shown.


Record 12
The following is a DFT calculation (PBE-GGA) of a relaxed structure of Ca2AcThBi4.

Structure (POSCAR):
```
Ca2AcThBi4
1.0
7.976 0.000 0.000
0.000 4.743 0.000
-2.829 0.000 7.728
Ca Ac Th Bi
2 1 1 4
direct
0.000 0.000 0.000 Ca
0.000 0.500 0.500 Ca
0.500 0.000 0.500 Ac
0.500 0.500 0.000 Th
0.243 0.500 0.236 Bi
0.250 0.000 0.760 Bi
0.750 0.000 0.240 Bi
0.757 0.500 0.764 Bi
```

Results
Its energy relative to the elements is -17.495 kcal/mol of atoms. For the density, the calculation gives 7.81 g cm⁻³. The total energy comes out at -37.12 eV for the cell shown.


Record 13
The following is a DFT calculation (PBE-GGA) of a relaxed structure of HgHN2O.

Structure (POSCAR):
```
HgHN2O
1.0
3.077 0.000 0.000
0.000 3.077 0.000
0.000 0.000 6.396
Hg H N O
1 1 2 1
direct
0.000 0.000 0.000 Hg
0.500 0.500 0.500 H
0.000 0.500 0.500 N
0.500 0.000 0.500 N
0.500 0.500 0.000 O
```

Results
For the density, the calculation gives 6.73 g cm⁻³. The total energy comes out at -16.51 eV for the cell shown.


Record 14
The following is a DFT calculation (PBE-GGA) of a relaxed structure of PrDy2Hg2.

Structure (POSCAR):
```
PrDy2Hg2
1.0
3.762 0.000 0.000
0.000 5.417 0.000
-1.880 0.000 13.795
Pr Dy Hg
2 4 4
direct
0.148 0.250 0.292 Pr
0.852 0.750 0.708 Pr
0.049 0.750 0.096 Dy
0.236 0.750 0.473 Dy
0.764 0.250 0.527 Dy
0.951 0.250 0.904 Dy
0.355 0.250 0.711 Hg
0.456 0.750 0.911 Hg
0.544 0.250 0.089 Hg
0.645 0.750 0.289 Hg
```

Results
Its energy relative to the elements is -8.717 kcal/mol of atoms. For the density, the calculation gives 10.24 g cm⁻³. The total energy comes out at -32.95 eV for the cell shown.


Record 15
The following is a DFT calculation (PBE-GGA) of a relaxed structure of Ac4PtRhAu2.

Structure (POSCAR):
```
Ac4PtRhAu2
1.0
7.645 0.000 0.000
0.000 4.407 0.000
-2.539 0.000 7.432
Ac Pt Rh Au
4 1 1 2
direct
0.238 0.000 0.226 Ac
0.253 0.500 0.772 Ac
0.747 0.500 0.228 Ac
0.762 0.000 0.774 Ac
0.500 0.000 0.000 Pt
0.000 0.500 0.000 Rh
0.000 0.000 0.500 Au
0.500 0.500 0.500 Au
```

Results
Its energy relative to the elements is -20.620 kcal/mol of atoms. For the density, the calculation gives 10.61 g cm⁻³. The total energy comes out at -43.53 eV for the cell shown.


Record 16
The following is a DFT calculation (PBE-GGA) of a relaxed structure of LiLa4S4.

Structure (POSCAR):
```
LiLa4S4
1.0
8.408 0.000 0.000
0.000 8.408 0.000
0.000 0.000 5.957
Li La S
2 8 8
direct
0.250 0.750 0.250 Li
0.750 0.250 0.750 Li
0.022 0.250 0.036 La
0.250 0.022 0.536 La
0.250 0.478 0.536 La
0.478 0.250 0.036 La
0.522 0.750 0.964 La
0.750 0.522 0.464 La
0.750 0.978 0.464 La
0.978 0.750 0.964 La
0.014 0.750 0.473 S
0.250 0.514 0.027 S
0.250 0.986 0.027 S
0.486 0.750 0.473 S
0.514 0.250 0.527 S
0.750 0.014 0.973 S
0.750 0.486 0.973 S
0.986 0.250 0.527 S
```

Results
As for the uncorrected formation energy: -1.779 eV/atom. For the density, the calculation gives 5.45 g cm⁻³. The total energy comes out at -108.29 eV for the cell shown.


Record 17
The following is a DFT calculation (PBE-GGA) of a relaxed structure of Tb2GePPt6.

Structure (POSCAR):
```
Tb2GePPt6
1.0
5.549 0.000 0.000
0.000 8.402 0.000
0.000 0.000 8.318
Tb Ge P Pt
4 2 2 12
direct
0.250 0.007 0.235 Tb
0.250 0.493 0.235 Tb
0.750 0.507 0.765 Tb
0.750 0.993 0.765 Tb
0.250 0.750 0.778 Ge
0.750 0.250 0.222 Ge
0.250 0.250 0.754 P
0.750 0.750 0.246 P
0.001 0.250 0.489 Pt
0.001 0.250 0.978 Pt
0.250 0.005 0.624 Pt
0.250 0.495 0.624 Pt
0.499 0.250 0.489 Pt
0.499 0.250 0.978 Pt
0.501 0.750 0.022 Pt
0.501 0.750 0.511 Pt
0.750 0.505 0.376 Pt
0.750 0.995 0.376 Pt
0.999 0.750 0.022 Pt
0.999 0.750 0.511 Pt
```

Results
Its energy relative to the elements is -20.726 kcal/mol of atoms. For the density, the calculation gives 13.63 g cm⁻³. The total energy comes out at -129.04 eV for the cell shown.


Record 18
The following is a DFT calculation (PBE-GGA) of a relaxed structure of SmFeS.

Structure (POSCAR):
```
SmFeS
1.0
2.259 1.304 7.552
-2.259 1.304 7.552
0.000 -2.609 7.552
Sm Fe S
2 2 2
direct
0.085 0.085 0.085 Sm
0.915 0.915 0.915 Sm
0.324 0.324 0.324 Fe
0.676 0.676 0.676 Fe
0.217 0.217 0.217 S
0.783 0.783 0.783 S
```

Results
As for the uncorrected formation energy: -0.797 eV/atom. For the density, the calculation gives 5.93 g cm⁻³. The total energy comes out at -39.40 eV for the cell shown.